AcHfPaN4 | GGA-PBE | optimized geometry

Computed properties:
For the uncorrected formation energy, the calculation gives -1281 meV/atom. The density of states at the Fermi level comes out at 0.2 states/eV per cell.

Lattice parameters (Å, degrees): 6.982 6.982 5.970 90.00 90.00 130.35
Fractional coordinates of all 14 atoms:
Ac (0.105, 0.895, 0.750)
Ac (0.895, 0.105, 0.250)
Hf (0.242, 0.758, 0.250)
Hf (0.758, 0.242, 0.750)
Pa (0.384, 0.616, 0.750)
Pa (0.616, 0.384, 0.250)
N (0.000, 0.500, 0.000)
N (0.000, 0.500, 0.500)
N (0.082, 0.918, 0.250)
N (0.455, 0.545, 0.250)
N (0.500, 0.000, 0.000)
N (0.500, 0.000, 0.500)
N (0.545, 0.455, 0.750)
N (0.918, 0.082, 0.750)